# Ba2AlAs

A geometry-optimized Ba2AlAs structure (PBE, Alexandria).

The structure in extended XYZ format:
```
4
Lattice="-2.647 2.647 4.759 2.647 -2.647 4.759 2.647 2.647 -4.759" Properties=species:S:1:pos:R:3 pbc="T T T"
Ba 2.647 0.000 2.380
Ba 0.000 2.647 2.380
Al 0.000 0.000 0.000
As 0.000 0.000 4.759
```

Output
**Calculated volume**: 133 Å³ per cell
**Energy relative to the elements**: -0.387 eV per atom
**Magnetic moment**: 0.000 μB per cell